Record 1
A geometry-optimized Dy2Pu3ScS6 structure. Source: the Alexandria database, functional GGA-PBE.

## Properties
E ... -8.818 eV per atom
Fermi-level density of states ... 1.94 states/eV/atom
Formation energy (no corrections) ... -1.877 eV/atom
Total magnetization ... 34.2 μB per cell

The structure in CIF format:
```
data_Dy2Pu3ScS6
_space_group_name_H-M_alt 'C 1 2/m 1'
_space_group_IT_number 12
_space_group_name_Hall '-C 2y'
_cell_length_a 17.018
_cell_length_b 3.881
_cell_length_c 7.826
_cell_angle_alpha 90.00
_cell_angle_beta 103.86
_cell_angle_gamma 90.00
loop_
_atom_site_label
_atom_site_type_symbol
_atom_site_fract_x
_atom_site_fract_y
_atom_site_fract_z
Dy1 Dy 0.165 0.000 0.332
Pu1 Pu 0.000 0.500 0.500
Pu2 Pu 0.168 0.000 0.834
Sc1 Sc 0.000 0.500 0.000
S1 S 0.000 0.000 0.237
S2 S 0.161 0.500 0.083
S3 S 0.168 0.500 0.581
```

Record 2
A geometry-optimized Dy2PuScS4 structure. Source: the Alexandria database, functional GGA-PBE.

## Properties
E ... -7.708 eV per atom
Fermi-level density of states ... 0.94 states/eV/atom
Formation energy (no corrections) ... -1.911 eV/atom
Total magnetization ... 5.8 μB per cell

The structure in CIF format:
```
data_Dy2PuScS4
_space_group_name_H-M_alt 'P 1 2/m 1'
_space_group_IT_number 10
_space_group_name_Hall '-P 2y'
_cell_length_a 6.700
_cell_length_b 3.856
_cell_length_c 6.702
_cell_angle_alpha 90.00
_cell_angle_beta 109.22
_cell_angle_gamma 90.00
loop_
_atom_site_label
_atom_site_type_symbol
_atom_site_fract_x
_atom_site_fract_y
_atom_site_fract_z
Dy1 Dy 0.000 0.000 0.000
Dy2 Dy 0.000 0.500 0.500
Pu1 Pu 0.500 0.000 0.500
Sc1 Sc 0.500 0.500 0.000
S1 S 0.253 0.500 0.243
S2 S 0.259 0.000 0.761
```

Record 3
A geometry-optimized Dy4Pu3ScS8 structure. Source: the Alexandria database, functional GGA-PBE.

## Properties
E ... -8.206 eV per atom
Fermi-level density of states ... 1.40 states/eV/atom
Formation energy (no corrections) ... -1.909 eV/atom
Total magnetization ... 51.4 μB per cell

The structure in CIF format:
```
data_Dy4Pu3ScS8
_space_group_name_H-M_alt 'R -3 m'
_space_group_IT_number 166
_space_group_name_Hall '-R 3 2"'
_cell_length_a 7.7839
_cell_length_b 7.7839
_cell_length_c 19.1615
_cell_angle_alpha 90.00
_cell_angle_beta 90.00
_cell_angle_gamma 120.00
loop_
_atom_site_label
_atom_site_type_symbol
_atom_site_fract_x
_atom_site_fract_y
_atom_site_fract_z
Dy1 Dy 0.0000 0.0000 0.0000
Dy2 Dy 0.0000 0.5000 0.0000
Pu1 Pu 0.0000 0.5000 0.5000
Sc1 Sc 0.0000 0.0000 0.5000
S1 S 0.0000 0.0000 0.2510
S2 S 0.0079 0.5039 0.2492
```

Record 4
A geometry-optimized DyPuSc2S4 structure. Source: the Alexandria database, functional GGA-PBE.

## Properties
E ... -7.899 eV per atom
Fermi-level density of states ... 0.99 states/eV/atom
Formation energy (no corrections) ... -1.885 eV/atom
Total magnetization ... 5.8 μB per cell

The structure in CIF format:
```
data_DyPuSc2S4
_space_group_name_H-M_alt 'P 1 2/m 1'
_space_group_IT_number 10
_space_group_name_Hall '-P 2y'
_cell_length_a 6.602
_cell_length_b 3.795
_cell_length_c 6.609
_cell_angle_alpha 90.00
_cell_angle_beta 109.16
_cell_angle_gamma 90.00
loop_
_atom_site_label
_atom_site_type_symbol
_atom_site_fract_x
_atom_site_fract_y
_atom_site_fract_z
Dy1 Dy 0.000 0.000 0.000
Pu1 Pu 0.500 0.500 0.000
Sc1 Sc 0.000 0.500 0.500
Sc2 Sc 0.500 0.000 0.500
S1 S 0.243 0.000 0.732
S2 S 0.254 0.500 0.267
```

Record 5
A geometry-optimized SmDy4Pu3S8 structure. Source: the Alexandria database, functional GGA-PBE.

## Properties
E ... -8.136 eV per atom
Fermi-level density of states ... 1.44 states/eV/atom
Formation energy (no corrections) ... -1.940 eV/atom
Total magnetization ... 51.7 μB per cell

The structure in CIF format:
```
data_SmDy4Pu3S8
_space_group_name_H-M_alt 'R -3 m'
_space_group_IT_number 166
_space_group_name_Hall '-R 3 2"'
_cell_length_a 7.8553
_cell_length_b 7.8553
_cell_length_c 19.3758
_cell_angle_alpha 90.00
_cell_angle_beta 90.00
_cell_angle_gamma 120.00
loop_
_atom_site_label
_atom_site_type_symbol
_atom_site_fract_x
_atom_site_fract_y
_atom_site_fract_z
Sm1 Sm 0.0000 0.0000 0.0000
Dy1 Dy 0.0000 0.0000 0.5000
Dy2 Dy 0.0000 0.5000 0.5000
Pu1 Pu 0.0000 0.5000 0.0000
S1 S 0.0000 0.0000 0.2489
S2 S 0.0021 0.5011 0.2481
```

Record 6
A geometry-optimized Sm2DyPuS4 structure. Source: the Alexandria database, functional GGA-PBE.

## Properties
E ... -7.582 eV per atom
Fermi-level density of states ... 1.00 states/eV/atom
Formation energy (no corrections) ... -1.972 eV/atom
Total magnetization ... 5.7 μB per cell

The structure in CIF format:
```
data_Sm2DyPuS4
_space_group_name_H-M_alt 'P 1 2/m 1'
_space_group_IT_number 10
_space_group_name_Hall '-P 2y'
_cell_length_a 6.877
_cell_length_b 3.954
_cell_length_c 6.889
_cell_angle_alpha 90.00
_cell_angle_beta 109.22
_cell_angle_gamma 90.00
loop_
_atom_site_label
_atom_site_type_symbol
_atom_site_fract_x
_atom_site_fract_y
_atom_site_fract_z
Sm1 Sm 0.000 0.000 0.000
Sm2 Sm 0.500 0.500 0.000
Dy1 Dy 0.000 0.500 0.500
Pu1 Pu 0.500 0.000 0.500
S1 S 0.245 0.000 0.742
S2 S 0.251 0.500 0.257
```

Record 7
A geometry-optimized Sm3DyPu2S6 structure. Source: the Alexandria database, functional GGA-PBE.

## Properties
E ... -7.969 eV per atom
Fermi-level density of states ... 1.39 states/eV/atom
Formation energy (no corrections) ... -1.954 eV/atom
Total magnetization ... 22.6 μB per cell

The structure in CIF format:
```
data_Sm3DyPu2S6
_space_group_name_H-M_alt 'C 1 2/m 1'
_space_group_IT_number 12
_space_group_name_Hall '-C 2y'
_cell_length_a 6.869
_cell_length_b 11.900
_cell_length_c 6.904
_cell_angle_alpha 90.00
_cell_angle_beta 109.33
_cell_angle_gamma 90.00
loop_
_atom_site_label
_atom_site_type_symbol
_atom_site_fract_x
_atom_site_fract_y
_atom_site_fract_z
Sm1 Sm 0.000 0.000 0.000
Sm2 Sm 0.000 0.333 0.000
Dy1 Dy 0.000 0.500 0.500
Pu1 Pu 0.000 0.167 0.500
S1 S 0.247 0.334 0.743
S2 S 0.250 0.000 0.745
```

Record 8
A geometry-optimized SmDy2PuS4 structure. Source: the Alexandria database, functional GGA-PBE.

## Properties
E ... -7.563 eV per atom
Fermi-level density of states ... 0.96 states/eV/atom
Formation energy (no corrections) ... -1.967 eV/atom
Total magnetization ... 5.8 μB per cell

The structure in CIF format:
```
data_SmDy2PuS4
_space_group_name_H-M_alt 'P 1 2/m 1'
_space_group_IT_number 10
_space_group_name_Hall '-P 2y'
_cell_length_a 6.833
_cell_length_b 3.927
_cell_length_c 6.845
_cell_angle_alpha 90.00
_cell_angle_beta 109.20
_cell_angle_gamma 90.00
loop_
_atom_site_label
_atom_site_type_symbol
_atom_site_fract_x
_atom_site_fract_y
_atom_site_fract_z
Sm1 Sm 0.000 0.000 0.000
Dy1 Dy 0.000 0.500 0.500
Dy2 Dy 0.500 0.000 0.500
Pu1 Pu 0.500 0.500 0.000
S1 S 0.250 0.000 0.744
S2 S 0.255 0.500 0.258
```

Record 9
A geometry-optimized Sr2DyPuS4 structure. Source: the Alexandria database, functional GGA-PBE.

## Properties
E ... -6.811 eV per atom
Fermi-level density of states ... 1.47 states/eV/atom
Formation energy (no corrections) ... -1.960 eV/atom
Total magnetization ... 5.9 μB per cell

The structure in CIF format:
```
data_Sr2DyPuS4
_space_group_name_H-M_alt 'P 1 2/m 1'
_space_group_IT_number 10
_space_group_name_Hall '-P 2y'
_cell_length_a 7.053
_cell_length_b 4.070
_cell_length_c 7.184
_cell_angle_alpha 90.00
_cell_angle_beta 109.17
_cell_angle_gamma 90.00
loop_
_atom_site_label
_atom_site_type_symbol
_atom_site_fract_x
_atom_site_fract_y
_atom_site_fract_z
Sr1 Sr 0.000 0.000 0.000
Sr2 Sr 0.500 0.500 0.000
Dy1 Dy 0.000 0.500 0.500
Pu1 Pu 0.500 0.000 0.500
S1 S 0.239 0.000 0.730
S2 S 0.253 0.500 0.269
```

Record 10
A geometry-optimized TbDy4PuS8 structure. Source: the Alexandria database, functional GGA-PBE.

## Properties
E ... -6.919 eV per atom
Fermi-level density of states ... 1.33 states/eV/atom
Formation energy (no corrections) ... -1.891 eV/atom
Total magnetization ... 18.9 μB per cell

The structure in CIF format:
```
data_TbDy4PuS8
_space_group_name_H-M_alt 'R 3 m'
_space_group_IT_number 160
_space_group_name_Hall 'R 3 -2"'
_cell_length_a 8.0967
_cell_length_b 8.0967
_cell_length_c 19.8775
_cell_angle_alpha 90.00
_cell_angle_beta 90.00
_cell_angle_gamma 120.00
loop_
_atom_site_label
_atom_site_type_symbol
_atom_site_fract_x
_atom_site_fract_y
_atom_site_fract_z
Tb1 Tb 0.0000 0.0000 0.0000
Dy1 Dy 0.0000 0.0000 0.6237
Dy2 Dy 0.1685 0.3371 0.8314
Pu1 Pu 0.0000 0.0000 0.3731
S1 S 0.0000 0.0000 0.2372
S2 S 0.0000 0.0000 0.7563
S3 S 0.0285 0.5143 0.7527
S4 S 0.1766 0.3533 0.5789
```

Record 11
A geometry-optimized TbDy2PuS4 structure. Source: the Alexandria database, functional GGA-PBE.

## Properties
E ... -7.550 eV per atom
Fermi-level density of states ... 0.95 states/eV/atom
Formation energy (no corrections) ... -1.965 eV/atom
Total magnetization ... 5.8 μB per cell

The structure in CIF format:
```
data_TbDy2PuS4
_space_group_name_H-M_alt 'P 1 2/m 1'
_space_group_IT_number 10
_space_group_name_Hall '-P 2y'
_cell_length_a 6.799
_cell_length_b 3.910
_cell_length_c 6.800
_cell_angle_alpha 90.00
_cell_angle_beta 109.23
_cell_angle_gamma 90.00
loop_
_atom_site_label
_atom_site_type_symbol
_atom_site_fract_x
_atom_site_fract_y
_atom_site_fract_z
Tb1 Tb 0.000 0.000 0.000
Dy1 Dy 0.000 0.500 0.500
Dy2 Dy 0.500 0.000 0.500
Pu1 Pu 0.500 0.500 0.000
S1 S 0.248 0.000 0.747
S2 S 0.250 0.500 0.253
```

Record 12
A geometry-optimized Tb2DyPu3S6 structure. Source: the Alexandria database, functional GGA-PBE.

## Properties
E ... -8.717 eV per atom
Fermi-level density of states ... 1.91 states/eV/atom
Formation energy (no corrections) ... -1.915 eV/atom
Total magnetization ... 34.1 μB per cell

The structure in CIF format:
```
data_Tb2DyPu3S6
_space_group_name_H-M_alt 'C 1 2/m 1'
_space_group_IT_number 12
_space_group_name_Hall '-C 2y'
_cell_length_a 17.185
_cell_length_b 3.926
_cell_length_c 7.895
_cell_angle_alpha 90.00
_cell_angle_beta 103.64
_cell_angle_gamma 90.00
loop_
_atom_site_label
_atom_site_type_symbol
_atom_site_fract_x
_atom_site_fract_y
_atom_site_fract_z
Tb1 Tb 0.167 0.000 0.333
Dy1 Dy 0.000 0.500 0.000
Pu1 Pu 0.000 0.500 0.500
Pu2 Pu 0.167 0.000 0.833
S1 S 0.000 0.000 0.248
S2 S 0.166 0.500 0.084
S3 S 0.167 0.500 0.582
```

Calculated values (Å³/f.u.) of volume for the records, taken in order: 250.9, 163.5, 335.1, 156.4, 345.1, 176.9, 266.2, 173.5, 194.8, 376.2, 170.7, 258.9.